DFT (PBE-GGA) results for a relaxed NaSr5Tl4 crystal.

Geometry as POSCAR:
```
NaSr5Tl4
1.0
-0.045 -4.082 -0.591
4.112 -0.089 0.302
-1.620 -3.041 21.139
Na Sr Tl
1 5 4
Direct
0.000 0.000 0.000
0.500 0.500 0.124
0.500 0.500 0.309
0.500 0.500 0.500
0.500 0.500 0.691
0.500 0.500 0.876
0.000 0.000 0.214
0.000 0.000 0.403
0.000 0.000 0.597
0.000 0.000 0.786
```

Energy ... -2.265 eV/atom
Symmetry ... P4/mmm

=====

DFT (PBE-GGA) results for a relaxed NaSrTl4 crystal.

Geometry as POSCAR:
```
NaSrTl4
1.0
4.715 0.000 2.266
2.021 5.997 1.833
-0.261 0.206 6.581
Na Sr Tl
1 1 4
Direct
0.000 0.500 0.000
0.000 0.000 0.500
0.664 0.547 0.624
0.336 0.453 0.376
0.334 0.873 0.958
0.666 0.127 0.042
```

Energy relative to the lowest polymorph listed for this composition ... 0 kJ/mol of formula units
Symmetry ... C2/m

=====

DFT (PBE-GGA) results for a relaxed Na2SrTl2 crystal.

Geometry as POSCAR:
```
Na2SrTl2
1.0
9.013 0.000 0.000
0.000 9.013 0.000
0.000 0.000 4.108
Sr Tl Na
2 4 4
Direct
0.000 0.000 0.000
0.500 0.500 0.000
0.368 0.868 0.000
0.868 0.632 0.000
0.632 0.132 0.000
0.132 0.368 0.000
0.161 0.661 0.500
0.661 0.839 0.500
0.839 0.339 0.500
0.339 0.161 0.500
```

Energy relative to the lowest polymorph listed for this composition ... 22 kJ/mol of formula units
Symmetry ... P4/mbm

=====

DFT (PBE-GGA) results for a relaxed Na2SrTl2 crystal.

Geometry as POSCAR:
```
Na2SrTl2
1.0
5.247 0.000 0.000
0.000 4.090 0.000
-2.624 -2.045 15.571
Na Sr Tl
4 2 4
Direct
0.544 0.294 0.088
0.941 0.191 0.882
0.456 0.706 0.912
0.059 0.809 0.118
0.825 0.575 0.649
0.175 0.425 0.351
0.724 0.974 0.448
0.276 0.026 0.552
0.376 0.126 0.753
0.624 0.874 0.247
```

Energy relative to the lowest polymorph listed for this composition ... 0 kJ/mol of formula units
Symmetry ... Imma

=====

DFT (PBE-GGA) results for a relaxed Na3SrTl7 crystal.

Geometry as POSCAR:
```
Na3SrTl7
1.0
-5.173 3.199 2.687
-0.826 -7.114 -5.169
4.406 -6.453 4.116
Na Sr Tl
3 1 7
Direct
0.000 0.793 0.207
0.500 0.000 0.000
0.000 0.207 0.793
0.500 0.500 0.500
0.396 0.218 0.218
0.298 0.028 0.573
0.702 0.427 0.972
0.298 0.573 0.028
0.000 0.500 0.500
0.702 0.972 0.427
0.604 0.782 0.782
```

Energy relative to the lowest polymorph listed for this composition ... 15 kJ/mol of formula units
Symmetry ... C2/m

=====

DFT (PBE-GGA) results for a relaxed NaSrTl2 crystal.

Geometry as POSCAR:
```
NaSrTl2
1.0
3.987 0.000 0.000
0.000 3.987 0.000
0.000 0.000 7.851
Sr Tl Na
1 2 1
Direct
0.500 0.500 0.500
0.000 0.000 0.776
0.000 0.000 0.224
0.500 0.500 0.000
```

Energy ... -2.186 eV/atom
Symmetry ... P4/mmm

=====

DFT (PBE-GGA) results for a relaxed Na2SrTl6 crystal.

Geometry as POSCAR:
```
Na2SrTl6
1.0
6.243 -0.125 -0.285
-0.638 8.834 -4.878
-0.135 -0.113 10.110
Na Sr Tl
4 2 12
Direct
0.500 0.663 0.836
0.000 0.164 0.337
0.500 0.337 0.164
0.000 0.836 0.663
0.250 0.250 0.750
0.750 0.750 0.250
0.493 0.668 0.507
0.007 0.493 0.332
0.507 0.332 0.493
0.993 0.507 0.668
0.259 0.913 0.412
0.241 0.588 0.087
0.741 0.087 0.588
0.759 0.412 0.913
0.007 0.832 0.992
0.493 0.008 0.168
0.993 0.168 0.008
0.507 0.992 0.832
```

Energy ... -2.205 eV/atom
Symmetry ... C2/c

=====

DFT (PBE-GGA) results for a relaxed NaSrTl4 crystal.

Geometry as POSCAR:
```
NaSrTl4
1.0
6.485 0.000 0.000
3.242 5.616 0.000
3.242 1.872 5.295
Sr Tl Na
1 4 1
Direct
0.000 0.000 0.000
0.625 0.625 0.126
0.625 0.126 0.625
0.625 0.625 0.625
0.126 0.625 0.625
0.250 0.250 0.250
```

Energy relative to the lowest polymorph listed for this composition ... 7 kJ/mol of formula units
Symmetry ... F-43m

=====

DFT (PBE-GGA) results for a relaxed Na5Sr3Tl12 crystal.

Geometry as POSCAR:
```
Na5Sr3Tl12
1.0
-5.402 -15.440 0.432
3.207 5.084 15.220
-11.455 9.603 -6.659
Sr Na Tl
12 20 48
Direct
0.750 0.375 0.125
0.875 0.750 0.125
0.375 0.750 0.625
0.250 0.125 0.375
0.875 0.125 0.250
0.375 0.625 0.250
0.625 0.375 0.750
0.125 0.875 0.750
0.750 0.875 0.625
0.625 0.250 0.375
0.125 0.250 0.875
0.250 0.625 0.875
0.125 0.375 0.250
0.000 0.500 0.000
0.000 0.000 0.000
0.375 0.250 0.125
0.500 0.000 0.500
0.500 0.500 0.000
0.125 0.750 0.375
0.750 0.125 0.875
0.750 0.625 0.375
0.375 0.125 0.750
0.625 0.875 0.250
0.500 0.500 0.500
0.500 0.000 0.000
0.000 0.000 0.500
0.250 0.375 0.625
0.250 0.875 0.125
0.000 0.500 0.500
0.875 0.250 0.625
0.625 0.750 0.875
0.875 0.625 0.750
0.722 0.148 0.074
0.352 0.574 0.427
0.926 0.352 0.278
0.574 0.222 0.148
0.574 0.722 0.648
0.926 0.573 0.148
0.352 0.778 0.426
0.073 0.926 0.148
0.573 0.926 0.648
0.722 0.574 0.148
0.778 0.426 0.352
0.852 0.927 0.074
0.148 0.722 0.574
0.352 0.427 0.074
0.074 0.927 0.352
0.426 0.148 0.573
0.074 0.148 0.222
0.426 0.648 0.073
0.852 0.926 0.278
0.148 0.426 0.073
0.352 0.926 0.778
0.573 0.648 0.426
0.927 0.852 0.574
0.778 0.352 0.926
0.427 0.352 0.574
0.073 0.148 0.426
0.222 0.648 0.074
0.148 0.074 0.722
0.648 0.074 0.222
0.852 0.574 0.927
0.574 0.352 0.927
0.574 0.852 0.427
0.926 0.852 0.778
0.926 0.073 0.648
0.852 0.278 0.426
0.148 0.073 0.926
0.648 0.573 0.926
0.427 0.074 0.352
0.278 0.426 0.852
0.222 0.574 0.648
0.927 0.074 0.852
0.648 0.222 0.574
0.426 0.778 0.852
0.074 0.427 0.852
0.426 0.278 0.352
0.074 0.648 0.722
0.648 0.426 0.573
0.278 0.852 0.926
```

Energy ... -1.855 eV/atom
Symmetry ... Ia-3d

=====

DFT (PBE-GGA) results for a relaxed Na2Sr6Tl crystal.

Geometry as POSCAR:
```
Na2Sr6Tl
1.0
6.024 0.000 0.282
0.000 11.631 0.000
-0.544 0.000 11.627
Na Sr Tl
4 12 2
Direct
0.000 0.298 0.796
0.500 0.798 0.704
0.500 0.202 0.296
0.000 0.702 0.204
0.000 0.028 0.192
0.000 0.692 0.529
0.000 0.617 0.883
0.500 0.117 0.617
0.500 0.192 0.971
0.500 0.528 0.308
0.000 0.972 0.808
0.000 0.308 0.471
0.000 0.383 0.117
0.500 0.883 0.383
0.500 0.808 0.029
0.500 0.472 0.692
0.500 0.500 0.000
0.000 0.000 0.500
```

Energy relative to the lowest polymorph listed for this composition ... 0 kJ/mol of formula units
Symmetry ... Pnnm

=====

DFT (PBE-GGA) results for a relaxed NaSr5Tl crystal.

Geometry as POSCAR:
```
NaSr5Tl
1.0
7.871 0.743 -0.280
3.202 7.229 -0.280
3.505 2.523 12.664
Na Sr Tl
2 10 2
Direct
0.421 0.579 0.250
0.579 0.421 0.750
0.936 0.620 0.142
0.223 0.517 0.540
0.620 0.936 0.642
0.927 0.073 0.250
0.483 0.777 0.960
0.517 0.223 0.040
0.073 0.927 0.750
0.380 0.064 0.358
0.777 0.483 0.460
0.064 0.380 0.858
0.000 0.000 0.000
0.000 0.000 0.500
```

Energy ... -1.742 eV/atom
Symmetry ... C2/c

=====

DFT (PBE-GGA) results for a relaxed Na6SrTl4 crystal.

Geometry as POSCAR:
```
Na6SrTl4
1.0
8.327 -0.409 -0.602
-4.213 7.194 0.602
-4.213 -2.085 6.912
Na Sr Tl
6 1 4
Direct
0.000 0.901 0.513
0.000 0.513 0.901
0.612 0.099 0.099
0.500 0.000 0.500
0.388 0.487 0.487
0.500 0.500 0.000
0.000 0.000 0.000
0.000 0.262 0.588
0.674 0.412 0.412
0.000 0.588 0.262
0.326 0.738 0.738
```

Energy ... -1.808 eV/atom
Symmetry ... I-42m